# 1
Entry from Alexandria: an optimized crystal structure of AlCrMo (GGA-PBEsol).

abc: 4.899 4.899 4.899
angles: 143.58 143.58 52.46
Atoms (fractional coordinates):
Al  0.000  0.000  0.000
Cr  0.326  0.326  0.000
Mo  0.687  0.687  0.000

space group	I4mm, No. 107
energy relative to the elements	-0.09	eV per atom
energy above the lowest structure with this stoichiometry	0.000	eV/atom

# 2
Entry from Alexandria: an optimized crystal structure of Al2CrMo (GGA-PBEsol).

abc: 3.087 3.087 5.850
angles: 90.00 90.00 90.00
Atoms (fractional coordinates):
Al  0.000  0.000  0.000
Al  0.500  0.500  0.272
Cr  0.000  0.000  0.516
Mo  0.500  0.500  0.736

space group	P4mm, No. 99
energy relative to the elements	-0.15	eV per atom
energy above the lowest structure with this stoichiometry	0.000	eV/atom

# 3
Entry from Alexandria: an optimized crystal structure of AlCrN2 (GGA-PBEsol).

abc: 6.259 6.259 6.259
angles: 25.56 25.56 25.56
Atoms (fractional coordinates):
Al  0.000  0.000  0.000
Cr  0.500  0.500  0.500
N  0.105  0.105  0.105
N  0.895  0.895  0.895

space group	R-3m, No. 166
electronic total energy	-8.21	eV/atom

# 4
Entry from Alexandria: an optimized crystal structure of AlCrN2O (GGA-PBEsol).

abc: 3.698 3.698 3.595
angles: 90.00 90.00 90.00
Atoms (fractional coordinates):
Al  0.000  0.000  0.000
Cr  0.500  0.500  0.500
N  0.000  0.500  0.000
N  0.500  0.000  0.000
O  0.000  0.000  0.500

space group	P4/mmm, No. 123
electronic total energy	-7.31	eV/atom